Record 1
{
  "formula": "Li5V12O32",
  "functional": "PBEsol",
  "state": "relaxed",
  "crystal_system": "monoclinic",
  "e_form_raw_ev_per_atom": -2.331,
  "lattice": [[7.134, 0.000, 0.000], [-3.567, 6.708, -0.006], [0.000, -3.709, 11.324]],
  "species": ["Li", "Li", "Li", "Li", "Li", "V", "V", "V", "V", "V", "V", "V", "V", "V", "V", "V", "V", "O", "O", "O", "O", "O", "O", "O", "O", "O", "O", "O", "O", "O", "O", "O", "O", "O", "O", "O", "O", "O", "O", "O", "O", "O", "O", "O", "O", "O", "O", "O", "O"],
  "fractional_positions": [[0.875, 0.751, 0.683], [0.373, 0.746, 0.683], [0.613, 0.753, 0.318], [0.140, 0.753, 0.318], [0.909, 0.818, 0.050], [0.162, 0.325, 0.806], [0.659, 0.319, 0.803], [0.453, 0.407, 0.463], [0.954, 0.407, 0.463], [0.724, 0.448, 0.081], [0.228, 0.456, 0.081], [0.272, 0.044, 0.918], [0.772, 0.044, 0.918], [0.047, 0.095, 0.538], [0.547, 0.095, 0.537], [0.340, 0.181, 0.197], [0.841, 0.181, 0.197], [0.879, 0.259, 0.826], [0.381, 0.259, 0.826], [0.763, 0.527, 0.954], [0.264, 0.529, 0.953], [0.159, 0.318, 0.459], [0.659, 0.317, 0.459], [0.234, 0.469, 0.721], [0.734, 0.469, 0.721], [0.477, 0.450, 0.326], [0.973, 0.450, 0.326], [0.068, 0.635, 0.562], [0.568, 0.635, 0.562], [0.434, 0.370, 0.072], [0.935, 0.370, 0.072], [0.669, 0.829, 0.809], [0.160, 0.829, 0.809], [0.838, 0.676, 0.182], [0.335, 0.671, 0.192], [0.562, 0.124, 0.931], [0.065, 0.129, 0.928], [0.934, 0.867, 0.438], [0.433, 0.866, 0.437], [0.026, 0.052, 0.674], [0.525, 0.051, 0.673], [0.265, 0.032, 0.280], [0.767, 0.032, 0.280], [0.343, 0.185, 0.541], [0.842, 0.185, 0.541], [0.747, 0.969, 0.047], [0.221, 0.969, 0.047], [0.121, 0.242, 0.177], [0.618, 0.235, 0.172]]
}

Record 2
{
  "formula": "Li4V7O12",
  "functional": "PBEsol",
  "state": "relaxed",
  "crystal_system": "monoclinic",
  "e_form_raw_ev_per_atom": -2.280,
  "lattice": [[-2.837, -3.570, 1.672], [3.478, -5.386, -5.598], [7.411, -1.252, 5.809]],
  "species": ["Li", "Li", "Li", "Li", "Li", "Li", "Li", "Li", "V", "V", "V", "V", "V", "V", "V", "V", "V", "V", "V", "V", "V", "V", "O", "O", "O", "O", "O", "O", "O", "O", "O", "O", "O", "O", "O", "O", "O", "O", "O", "O", "O", "O", "O", "O", "O", "O"],
  "fractional_positions": [[0.506, 0.080, 0.251], [0.005, 0.411, 0.742], [0.284, 0.427, 0.499], [0.497, 0.426, 0.257], [0.494, 0.580, 0.749], [0.716, 0.927, 0.501], [0.995, 0.911, 0.258], [0.503, 0.926, 0.743], [0.807, 0.078, 0.997], [0.791, 0.244, 0.498], [0.214, 0.096, 0.489], [0.004, 0.249, 0.283], [0.221, 0.238, 0.998], [0.779, 0.428, 0.000], [0.500, 0.251, 0.750], [0.786, 0.596, 0.511], [0.779, 0.738, 0.002], [0.193, 0.578, 0.003], [0.996, 0.749, 0.717], [0.209, 0.744, 0.502], [0.500, 0.751, 0.250], [0.221, 0.928, 0.000], [0.852, 0.071, 0.372], [0.137, 0.086, 0.143], [0.869, 0.251, 0.868], [0.137, 0.251, 0.623], [0.405, 0.082, 0.885], [0.597, 0.098, 0.614], [0.383, 0.250, 0.380], [0.884, 0.419, 0.385], [0.129, 0.404, 0.134], [0.648, 0.248, 0.119], [0.374, 0.417, 0.886], [0.863, 0.586, 0.857], [0.148, 0.571, 0.628], [0.642, 0.412, 0.624], [0.863, 0.751, 0.377], [0.403, 0.598, 0.386], [0.131, 0.751, 0.132], [0.595, 0.582, 0.115], [0.871, 0.904, 0.866], [0.352, 0.748, 0.881], [0.617, 0.750, 0.620], [0.116, 0.919, 0.615], [0.358, 0.912, 0.376], [0.626, 0.917, 0.114]]
}

Record 3
{
  "formula": "Li2V6O13",
  "functional": "PBEsol",
  "state": "relaxed",
  "crystal_system": "monoclinic",
  "e_form_raw_ev_per_atom": -2.336,
  "lattice": [[3.698, 0.000, 0.000], [-1.849, 5.889, 0.044], [0.000, -2.014, 10.250]],
  "species": ["Li", "Li", "V", "V", "V", "V", "V", "V", "O", "O", "O", "O", "O", "O", "O", "O", "O", "O", "O", "O", "O"],
  "fractional_positions": [[0.097, 0.194, 0.154], [0.903, 0.806, 0.846], [0.645, 0.291, 0.965], [0.355, 0.709, 0.035], [0.411, 0.822, 0.380], [0.289, 0.579, 0.635], [0.589, 0.178, 0.620], [0.711, 0.421, 0.365], [0.431, 0.863, 0.579], [0.820, 0.641, 0.995], [0.759, 0.517, 0.598], [0.124, 0.248, 0.617], [0.389, 0.778, 0.201], [0.663, 0.326, 0.204], [0.611, 0.222, 0.799], [0.180, 0.359, 0.005], [0.500, 0.000, 0.000], [0.241, 0.483, 0.402], [0.569, 0.137, 0.421], [0.337, 0.674, 0.796], [0.876, 0.752, 0.383]]
}

Record 4
{
  "formula": "LiVO2",
  "functional": "PBEsol",
  "state": "relaxed",
  "crystal_system": "trigonal",
  "e_form_raw_ev_per_atom": -2.285,
  "lattice": [[-0.988, 1.757, 1.889], [-1.603, -0.932, 2.048], [3.155, -0.478, 4.114]],
  "species": ["V", "O", "O", "Li"],
  "fractional_positions": [[0.500, 0.500, 0.500], [0.753, 0.753, 0.741], [0.247, 0.247, 0.259], [0.000, 0.000, 0.000]]
}

Record 5
{
  "formula": "Li8VO6",
  "functional": "PBEsol",
  "state": "relaxed",
  "crystal_system": "trigonal",
  "e_form_raw_ev_per_atom": -2.008,
  "lattice": [[5.311, 0.000, 0.000], [2.656, 4.599, 0.000], [2.656, 1.533, 4.925]],
  "species": ["Li", "Li", "Li", "Li", "Li", "Li", "Li", "Li", "V", "O", "O", "O", "O", "O", "O"],
  "fractional_positions": [[0.512, 0.237, 0.353], [0.763, 0.102, 0.647], [0.102, 0.488, 0.647], [0.340, 0.340, 0.980], [0.660, 0.660, 0.020], [0.898, 0.512, 0.353], [0.237, 0.898, 0.353], [0.488, 0.763, 0.647], [0.000, 0.000, 0.000], [0.375, 0.087, 0.768], [0.913, 0.230, 0.232], [0.230, 0.625, 0.232], [0.770, 0.375, 0.768], [0.087, 0.770, 0.768], [0.625, 0.913, 0.232]]
}

Record 6
{
  "formula": "LiVO2",
  "functional": "PBEsol",
  "state": "relaxed",
  "crystal_system": "orthorhombic",
  "e_form_raw_ev_per_atom": -2.171,
  "lattice": [[5.646, 0.000, 0.000], [2.823, 5.027, -0.154], [2.823, 1.242, 4.874]],
  "species": ["Li", "Li", "Li", "Li", "V", "V", "V", "V", "O", "O", "O", "O", "O", "O", "O", "O"],
  "fractional_positions": [[0.702, 0.048, 0.548], [0.298, 0.952, 0.452], [0.500, 0.500, 0.500], [0.500, 0.000, 0.000], [0.000, 0.000, 0.000], [0.500, 0.500, 0.000], [0.000, 0.500, 0.500], [0.000, 0.500, 0.000], [0.770, 0.242, 0.742], [0.245, 0.242, 0.742], [0.755, 0.758, 0.258], [0.230, 0.758, 0.258], [0.749, 0.283, 0.218], [0.749, 0.718, 0.783], [0.251, 0.717, 0.782], [0.251, 0.282, 0.217]]
}

Record 7
{
  "formula": "Li11V16O32",
  "functional": "PBEsol",
  "state": "relaxed",
  "crystal_system": "triclinic",
  "e_form_raw_ev_per_atom": -2.304,
  "lattice": [[-5.739, 5.234, 2.343], [-3.478, -0.677, -7.317], [0.098, -8.536, 5.144]],
  "species": ["Li", "Li", "Li", "Li", "Li", "Li", "Li", "Li", "Li", "Li", "Li", "V", "V", "V", "V", "V", "V", "V", "V", "V", "V", "V", "V", "V", "V", "V", "V", "O", "O", "O", "O", "O", "O", "O", "O", "O", "O", "O", "O", "O", "O", "O", "O", "O", "O", "O", "O", "O", "O", "O", "O", "O", "O", "O", "O", "O", "O", "O", "O"],
  "fractional_positions": [[0.602, 0.904, 0.277], [0.418, 0.920, 0.611], [0.669, 0.651, 0.099], [0.789, 0.818, 0.878], [0.042, 0.565, 0.381], [0.879, 0.585, 0.719], [0.116, 0.314, 0.206], [0.758, 0.256, 0.504], [0.364, 0.110, 0.246], [0.140, 0.357, 0.752], [0.251, 0.242, 0.979], [0.245, 0.745, 0.988], [0.000, 0.992, 0.491], [0.105, 0.870, 0.246], [0.766, 0.771, 0.514], [0.371, 0.614, 0.246], [0.130, 0.867, 0.755], [0.013, 0.519, 0.009], [0.368, 0.628, 0.750], [0.738, 0.245, 0.985], [0.490, 0.498, 0.486], [0.620, 0.382, 0.251], [0.270, 0.267, 0.514], [0.879, 0.117, 0.255], [0.617, 0.357, 0.744], [0.521, 0.021, 0.014], [0.859, 0.120, 0.749], [0.865, 0.874, 0.252], [0.005, 0.749, 0.999], [0.762, 0.007, 0.508], [0.344, 0.850, 0.228], [0.881, 0.874, 0.750], [0.247, 0.506, 0.002], [0.006, 0.768, 0.516], [0.126, 0.624, 0.245], [0.379, 0.878, 0.772], [0.266, 0.993, 0.996], [0.509, 0.736, 0.486], [0.623, 0.634, 0.267], [0.736, 0.511, 0.492], [0.370, 0.369, 0.243], [0.490, 0.766, 0.997], [0.126, 0.621, 0.749], [0.258, 0.500, 0.503], [0.855, 0.350, 0.232], [0.602, 0.596, 0.728], [0.511, 0.258, 0.011], [0.503, 0.261, 0.501], [0.631, 0.135, 0.255], [0.381, 0.385, 0.749], [0.758, 0.022, 0.016], [0.760, 0.480, 0.981], [0.012, 0.236, 0.497], [0.127, 0.123, 0.267], [0.872, 0.369, 0.756], [0.618, 0.120, 0.747], [0.234, 0.009, 0.485], [0.986, 0.261, 0.986], [0.098, 0.102, 0.737]]
}

Record 8
{
  "formula": "LiV6O13",
  "functional": "PBEsol",
  "state": "relaxed",
  "crystal_system": "monoclinic",
  "e_form_raw_ev_per_atom": -2.359,
  "lattice": [[3.729, 0.000, 0.000], [-1.864, 10.624, -0.217], [0.000, -4.220, 10.944]],
  "species": ["Li", "Li", "V", "V", "V", "V", "V", "V", "V", "V", "V", "V", "V", "V", "O", "O", "O", "O", "O", "O", "O", "O", "O", "O", "O", "O", "O", "O", "O", "O", "O", "O", "O", "O", "O", "O", "O", "O", "O", "O"],
  "fractional_positions": [[0.800, 0.601, 0.283], [0.200, 0.399, 0.717], [0.755, 0.510, 0.907], [0.245, 0.490, 0.093], [0.249, 0.497, 0.403], [0.751, 0.503, 0.597], [0.934, 0.869, 0.024], [0.066, 0.131, 0.976], [0.433, 0.866, 0.523], [0.567, 0.134, 0.477], [0.933, 0.866, 0.720], [0.067, 0.134, 0.280], [0.433, 0.865, 0.220], [0.567, 0.135, 0.780], [0.751, 0.503, 0.077], [0.249, 0.497, 0.923], [0.250, 0.499, 0.576], [0.750, 0.501, 0.424], [0.943, 0.885, 0.561], [0.057, 0.115, 0.439], [0.443, 0.886, 0.064], [0.557, 0.114, 0.936], [0.953, 0.905, 0.208], [0.047, 0.095, 0.792], [0.453, 0.905, 0.705], [0.547, 0.095, 0.295], [0.750, 0.500, 0.750], [0.250, 0.500, 0.250], [0.848, 0.696, 0.966], [0.152, 0.304, 0.034], [0.347, 0.694, 0.460], [0.653, 0.306, 0.540], [0.849, 0.697, 0.668], [0.151, 0.303, 0.332], [0.348, 0.697, 0.174], [0.652, 0.303, 0.826], [0.955, 0.910, 0.889], [0.045, 0.090, 0.111], [0.455, 0.910, 0.390], [0.545, 0.090, 0.610]]
}

Record 9
{
  "formula": "Li7V5O12",
  "functional": "PBEsol",
  "state": "relaxed",
  "crystal_system": "monoclinic",
  "e_form_raw_ev_per_atom": -2.287,
  "lattice": [[-0.382, 4.190, 2.580], [-2.572, -0.434, -4.189], [-6.283, -4.665, 5.219]],
  "species": ["Li", "Li", "Li", "Li", "Li", "Li", "Li", "V", "V", "V", "V", "V", "O", "O", "O", "O", "O", "O", "O", "O", "O", "O", "O", "O"],
  "fractional_positions": [[0.245, 0.755, 0.000], [0.661, 0.842, 0.243], [0.851, 0.676, 0.758], [0.158, 0.339, 0.757], [0.324, 0.149, 0.242], [0.752, 0.248, 0.500], [0.922, 0.078, 0.000], [0.078, 0.922, 0.500], [0.507, 0.998, 0.764], [0.002, 0.493, 0.236], [0.428, 0.572, 0.500], [0.576, 0.424, 0.000], [0.232, 0.059, 0.877], [0.941, 0.768, 0.123], [0.351, 0.848, 0.376], [0.152, 0.649, 0.624], [0.539, 0.712, 0.876], [0.288, 0.461, 0.124], [0.733, 0.555, 0.379], [0.445, 0.267, 0.621], [0.844, 0.362, 0.873], [0.638, 0.156, 0.127], [0.058, 0.225, 0.378], [0.775, 0.942, 0.622]]
}

Record 10
{
  "formula": "Li3V5O14",
  "functional": "PBEsol",
  "state": "relaxed",
  "crystal_system": "trigonal",
  "e_form_raw_ev_per_atom": -2.220,
  "lattice": [[-4.461, -1.219, 0.914], [-1.153, -1.983, -8.273], [2.763, -5.982, 5.503]],
  "species": ["Li", "Li", "Li", "V", "V", "V", "V", "V", "O", "O", "O", "O", "O", "O", "O", "O", "O", "O", "O", "O", "O", "O"],
  "fractional_positions": [[0.833, 0.000, 0.580], [0.833, 0.580, 0.000], [0.833, 0.420, 0.420], [0.570, 0.000, 0.222], [0.532, 0.667, 0.333], [0.570, 0.778, 0.778], [0.570, 0.222, 0.000], [0.532, 0.333, 0.667], [0.677, 0.000, 0.820], [0.233, 0.000, 0.219], [0.671, 0.693, 0.533], [0.671, 0.839, 0.307], [0.188, 0.667, 0.333], [0.677, 0.820, 0.000], [0.671, 0.467, 0.161], [0.233, 0.781, 0.781], [0.233, 0.219, 0.000], [0.671, 0.533, 0.693], [0.671, 0.307, 0.839], [0.188, 0.333, 0.667], [0.671, 0.161, 0.467], [0.677, 0.180, 0.180]]
}

Record 11
{
  "formula": "LiVO3",
  "functional": "PBEsol",
  "state": "relaxed",
  "crystal_system": "monoclinic",
  "e_form_raw_ev_per_atom": -2.257,
  "lattice": [[-3.923, 1.141, -2.608], [-0.831, -0.826, 4.703], [2.775, 4.498, 0.036]],
  "species": ["Li", "Li", "O", "O", "O", "O", "O", "O", "V", "V"],
  "fractional_positions": [[0.497, 0.503, 0.500], [0.130, 0.870, 0.500], [0.682, 0.673, 0.238], [0.327, 0.318, 0.762], [0.527, 0.903, 0.781], [0.097, 0.473, 0.219], [0.914, 0.537, 0.789], [0.463, 0.086, 0.211], [0.680, 0.320, 0.000], [0.325, 0.675, 0.000]]
}

Record 12
{
  "formula": "Li3V3O8",
  "functional": "PBEsol",
  "state": "relaxed",
  "crystal_system": "orthorhombic",
  "e_form_raw_ev_per_atom": -2.330,
  "lattice": [[-1.176, -5.400, 1.694], [-0.421, 1.611, -5.535], [3.625, -4.275, -1.413]],
  "species": ["Li", "Li", "Li", "V", "V", "V", "O", "O", "O", "O", "O", "O", "O", "O"],
  "fractional_positions": [[0.500, 0.370, 0.130], [0.259, 0.754, 0.988], [0.741, 0.754, 0.505], [0.000, 0.123, 0.877], [0.217, 0.742, 0.475], [0.783, 0.308, 0.475], [0.238, 0.487, 0.750], [0.762, 0.012, 0.750], [0.258, 0.003, 0.739], [0.742, 0.003, 0.255], [0.760, 0.486, 0.274], [0.240, 0.966, 0.274], [0.766, 0.496, 0.738], [0.234, 0.496, 0.271]]
}